No. 1
{"formula": "Ca2ZrH", "functional": "PBE", "state": "relaxed", "lattice_angstrom": [[7.686, 0.000, 0.000], [0.000, 7.686, 0.000], [0.000, 0.000, 7.686]], "species": ["Ca", "Ca", "Ca", "Ca", "Ca", "Ca", "Ca", "Ca", "Zr", "Zr", "Zr", "Zr", "H", "H", "H", "H"], "frac_coords": [[0.250, 0.250, 0.250], [0.250, 0.250, 0.750], [0.250, 0.750, 0.250], [0.250, 0.750, 0.750], [0.750, 0.250, 0.250], [0.750, 0.250, 0.750], [0.750, 0.750, 0.250], [0.750, 0.750, 0.750], [0.000, 0.000, 0.000], [0.000, 0.500, 0.500], [0.500, 0.000, 0.500], [0.500, 0.500, 0.000], [0.000, 0.000, 0.500], [0.000, 0.500, 0.000], [0.500, 0.000, 0.000], [0.500, 0.500, 0.500]], "relative_energy_mev_per_atom": 685, "n_ef_per_ev_fu": 5.130, "magnetic_moment_mub_per_fu": 3.409}



No. 2
{"formula": "CaZrH3", "functional": "PBE", "state": "relaxed", "lattice_angstrom": [[3.991, 0.000, 0.000], [0.000, 3.991, 0.000], [0.000, 0.000, 3.991]], "species": ["Ca", "Zr", "H", "H", "H"], "frac_coords": [[0.000, 0.000, 0.000], [0.500, 0.500, 0.500], [0.000, 0.500, 0.500], [0.500, 0.000, 0.500], [0.500, 0.500, 0.000]], "relative_energy_mev_per_atom": 0, "n_ef_per_ev_fu": 3.431, "magnetic_moment_mub_per_fu": 0.000}



No. 3
{"formula": "Ca2ZrH", "functional": "PBE", "state": "relaxed", "lattice_angstrom": [[3.365, 0.000, 0.000], [-1.682, 2.914, 0.000], [0.000, 0.000, 28.307]], "species": ["Ca", "Ca", "Ca", "Ca", "Ca", "Ca", "Zr", "Zr", "Zr", "H", "H", "H"], "frac_coords": [[0.000, 0.000, 0.113], [0.000, 0.000, 0.887], [0.333, 0.667, 0.553], [0.333, 0.667, 0.780], [0.667, 0.333, 0.220], [0.667, 0.333, 0.447], [0.000, 0.000, 0.000], [0.333, 0.667, 0.667], [0.667, 0.333, 0.333], [0.000, 0.000, 0.500], [0.333, 0.667, 0.167], [0.667, 0.333, 0.833]], "relative_energy_mev_per_atom": 0, "n_ef_per_ev_fu": 4.185, "magnetic_moment_mub_per_fu": 0.000}



No. 4
{"formula": "CaZr2H", "functional": "PBE", "state": "relaxed", "lattice_angstrom": [[6.405, 0.000, 0.000], [0.000, 6.405, 0.000], [0.000, 0.000, 8.880]], "species": ["Ca", "Ca", "Ca", "Ca", "Zr", "Zr", "Zr", "Zr", "Zr", "Zr", "Zr", "Zr", "H", "H", "H", "H"], "frac_coords": [[0.000, 0.000, 0.000], [0.000, 0.500, 0.250], [0.500, 0.000, 0.750], [0.500, 0.500, 0.500], [0.039, 0.750, 0.625], [0.250, 0.039, 0.375], [0.250, 0.461, 0.875], [0.461, 0.750, 0.125], [0.539, 0.250, 0.125], [0.750, 0.539, 0.875], [0.750, 0.961, 0.375], [0.961, 0.250, 0.625], [0.000, 0.000, 0.500], [0.000, 0.500, 0.750], [0.500, 0.000, 0.250], [0.500, 0.500, 0.000]], "relative_energy_mev_per_atom": 0, "n_ef_per_ev_fu": 5.902, "magnetic_moment_mub_per_fu": 0.000}